[1]
## Tb4CdRuAu2 (PBE-GGA)

Data for an optimized crystal structure of Tb4CdRuAu2.

Calculated values
V   187 Å³/cell
Fermi-level density of states   5.77 states/eV per cell
Magnetization   0.00 μB/f.u.
Formation energy   -594.0 meV/atom
Theoretical density   11.06 g cm⁻³

Cell: 5.110 5.110 8.769 Å, 73.06 73.06 60.00°
Fractional coordinates of all 8 atoms:
Au (0.740, 0.740, 0.779)
Cd (0.000, 0.000, 0.000)
Au (0.260, 0.260, 0.221)
Tb (0.385, 0.385, 0.845)
Tb (0.867, 0.867, 0.399)
Ru (0.500, 0.500, 0.500)
Tb (0.133, 0.133, 0.601)
Tb (0.615, 0.615, 0.155)


[2]
## Tm3ScIn2 (PBE-GGA)

Data for an optimized crystal structure of Tm3ScIn2.

Calculated values
V   330 Å³/cell
Fermi-level density of states   19.11 states/eV per cell
Magnetization   0.00 μB/f.u.
Formation energy   -267.4 meV/atom
Theoretical density   7.87 g cm⁻³

Cell: 6.358 6.354 9.314 Å, 109.94 109.96 90.00°
Fractional coordinates of all 12 atoms:
In (0.625, 0.867, 0.733)
Tm (0.500, 0.750, 0.000)
Tm (0.925, 0.175, 0.350)
Sc (0.000, 0.250, 0.000)
In (0.891, 0.633, 0.267)
Tm (0.425, 0.675, 0.350)
Tm (0.575, 0.325, 0.650)
In (0.375, 0.133, 0.267)
Sc (0.000, 0.750, 0.000)
Tm (0.075, 0.825, 0.650)
Tm (0.500, 0.250, 0.000)
In (0.109, 0.367, 0.733)